# 1
DFT (PBE) results for a relaxed AcDy2Sb crystal.

Lattice parameters (Å, degrees): 4.0843 4.0843 29.5475 90.00 90.00 120.00
Last column: nearest neighbours and their distance in Å.
Fractional coordinates of all 12 atoms:
Ac: 0.0000 0.0000 0.0000  6 Dy 3.82-3.87, 6 Ac 4.08
Ac: 0.3333 0.6667 0.6667  6 Dy 3.82-3.87, 6 Ac 4.08
Ac: 0.6667 0.3333 0.3333  6 Dy 3.82-3.87, 6 Ac 4.08
Dy: 0.0000 0.0000 0.5628  3 Sb 3.03
Dy: 0.0000 0.0000 0.7686  3 Sb 3.01
Dy: 0.3333 0.6667 0.2295  3 Sb 3.03
Dy: 0.3333 0.6667 0.4352  3 Sb 3.01
Dy: 0.6667 0.3333 0.1019  3 Sb 3.01
Dy: 0.6667 0.3333 0.8962  3 Sb 3.03
Sb: 0.0000 0.0000 0.1653  6 Dy 3.01-3.03
Sb: 0.3333 0.6667 0.8320  6 Dy 3.01-3.03
Sb: 0.6667 0.3333 0.4986  6 Dy 3.01-3.03

formation energy (no corrections): -1.50 eV per formula unit
calculated density: 7.863 Mg/m³
crystal system: trigonal
calculated total energy: -0.174 Ha/atom
magnetization: 0.01 μB/f.u.
energy above the most stable polymorph in this dataset: 0.086 eV/atom

=====

# 2
DFT (PBE) results for a relaxed AlReAg2 crystal.

Lattice parameters (Å, degrees): 10.1251 2.7388 5.1682 90.00 115.51 90.00
Last column: nearest neighbours and their distance in Å.
Fractional coordinates of all 8 atoms:
Al: 0.0000 0.0000 0.0000  3 Re 2.69-2.78, 2 Al 2.74, 7 Ag 2.84-3.01
Al: 0.5000 0.5000 0.0000  3 Re 2.69-2.78, 2 Al 2.74, 7 Ag 2.84-3.01
Re: 0.2605 0.0000 0.9438  3 Al 2.69-2.78, 2 Re 2.74, 7 Ag 2.89-2.97
Re: 0.7605 0.5000 0.9438  3 Al 2.69-2.78, 2 Re 2.74, 7 Ag 2.89-2.97
Ag: 0.0049 0.5000 0.5224  5 Ag 2.70-2.80, 4 Al 2.84-3.01, 3 Re 2.91-2.95
Ag: 0.2459 0.5000 0.4227  5 Ag 2.70-2.80, 3 Al 2.86-2.99, 4 Re 2.89-2.97
Ag: 0.5049 0.0000 0.5224  5 Ag 2.70-2.80, 4 Al 2.84-3.01, 3 Re 2.91-2.95
Ag: 0.7459 0.0000 0.4227  5 Ag 2.70-2.80, 3 Al 2.86-2.99, 4 Re 2.89-2.97

calculated density: 11.013 Mg/m³
crystal system: monoclinic
calculated total energy: -0.191 Ha/atom
magnetization: 0.00 μB/f.u.
formation energy from the elements: 281.1 meV per atom

=====

# 3
DFT (PBE) results for a relaxed BaBeTc2 crystal.

Lattice parameters (Å, degrees): 3.9624 4.1296 5.8545 90.00 104.98 90.00
Last column: nearest neighbours and their distance in Å.
Fractional coordinates of all 4 atoms:
Ba: 0.0000 0.0000 0.0000  2 Be 3.08
Be: 0.5000 0.0000 0.5000  4 Tc 2.38
Tc: 0.2905 0.5000 0.6104  2 Tc 2.33-2.35, 2 Be 2.38
Tc: 0.7095 0.5000 0.3896  2 Tc 2.33-2.35, 2 Be 2.38

calculated density: 6.143 Mg/m³
crystal system: monoclinic
calculated total energy: -0.218 Ha/atom
magnetization: 0.00 μB/f.u.
formation energy from the elements: 657.3 meV per atom